This record from Alexandria describes a geometry-optimized Rb4AgAu3 structure. The functional is PBE-GGA.

```
data_Rb4AgAu3
_cell_length_a 4.9390
_cell_length_b 4.9540
_cell_length_c 12.4983
_cell_angle_alpha 90.00
_cell_angle_beta 90.00
_cell_angle_gamma 90.00
_symmetry_space_group_name_H-M 'P 1'
_symmetry_Int_Tables_number 1
loop_
_symmetry_equiv_pos_as_xyz
'x,y,z'
loop_
_atom_site_label
_atom_site_fract_x
_atom_site_fract_y
_atom_site_fract_z
_atom_site_occupancy
Rb1 0.5000 0.0000 0.6399 1
Ag1 0.5000 0.5000 0.0572 1
Au1 0.0000 0.0000 0.4366 1
Rb2 0.5000 0.5000 0.3644 1
Au2 0.5000 0.0000 0.9379 1
Rb3 0.0000 0.5000 0.8524 1
Au3 0.0000 0.5000 0.5666 1
Rb4 0.0000 0.0000 0.1449 1
```

Properties
energy of formation = -165 kJ/mol of formula units
electronic total energy = -2.28 eV/atom
DOS(E_F) = 0.5 states/eV/cell